[1]
A plane-wave DFT calculation with PBE was carried out for an optimized crystal structure of RbLi2AgIr.

Calculated values
E in eV/atom: -1.8116
Formation energy from the elements in eV/atom: 1.490
Symmetry: No. 123

Lattice parameters (Å, degrees): 4.5284 5.2678 4.5284 90.00 90.00 90.00
With the nearest neighbours (Å) after each atom.
Sites, in units of the cell vectors:
Ir1 0.5000 0.5000 0.5000  4 Ag 3.20, 8 Li 3.47
Rb1 0.0000 0.0000 0.0000  4 Li 2.26
Ag1 0.0000 0.5000 0.0000  2 Rb 2.63
Li1 0.0000 0.0000 0.5000  2 Rb 2.26
Li2 0.5000 0.0000 0.0000  2 Rb 2.26



[2]
A plane-wave DFT calculation with PBE was carried out for an optimized crystal structure of LaAuC2Cl.

Calculated values
E in eV/atom: -3.6860
Energy relative to the elements, uncorrected in meV per atom: 2014
Symmetry: No. 123

Lattice parameters (Å, degrees): 4.4260 6.6957 4.4260 90.00 90.00 90.00
With the nearest neighbours (Å) after each atom.
Sites, in units of the cell vectors:
C1 0.0000 0.0000 0.5000  2 La 2.21
C2 0.5000 0.0000 0.0000  2 La 2.21
Cl1 0.5000 0.5000 0.5000  4 Au 3.13
Au1 0.0000 0.5000 0.0000  4 Cl 3.13, 2 La 3.35
La1 0.0000 0.0000 0.0000  4 C 2.21



[3]
A plane-wave DFT calculation with PBE was carried out for an optimized crystal structure of NaPmMnI6.

Calculated values
E in eV/atom: -3.7515
Energy relative to the elements, uncorrected in meV per atom: -1025
Symmetry: No. 163

Lattice parameters (Å, degrees): 7.6623 7.6623 14.5511 90.00 90.00 120.00
With the nearest neighbours (Å) after each atom.
Sites, in units of the cell vectors:
Na1 0.0000 0.0000 0.0000  6 I 3.32
Na2 0.0000 0.0000 0.5000  6 I 3.32
Pm1 0.3333 0.6667 0.2500  6 I 3.11
Pm2 0.6667 0.3333 0.7500  6 I 3.11
Mn1 0.6667 0.3333 0.2500  6 I 2.93
Mn2 0.3333 0.6667 0.7500  6 I 2.93
I1 0.6551 0.6364 0.1316  1 Mn 2.93, 1 Pm 3.11
I2 0.9813 0.3449 0.1316  1 Mn 2.93, 1 Pm 3.11
I3 0.3449 0.9813 0.6316  1 Mn 2.93, 1 Pm 3.11
I4 0.0187 0.6551 0.8684  1 Mn 2.93, 1 Pm 3.11
I5 0.3636 0.3449 0.3684  1 Mn 2.93, 1 Pm 3.11
I6 0.9813 0.6364 0.3684  1 Mn 2.93, 1 Pm 3.11
I7 0.6364 0.9813 0.8684  1 Mn 2.93, 1 Pm 3.11
I8 0.6551 0.0187 0.3684  1 Mn 2.93, 1 Pm 3.11
I9 0.0187 0.3636 0.6316  1 Mn 2.93, 1 Pm 3.11
I10 0.3636 0.0187 0.1316  1 Mn 2.93, 1 Pm 3.11
I11 0.6364 0.6551 0.6316  1 Mn 2.93, 1 Pm 3.11
I12 0.3449 0.3636 0.8684  1 Mn 2.93, 1 Pm 3.11



[4]
A plane-wave DFT calculation with PBE was carried out for an optimized crystal structure of GdThBi2.

Calculated values
E in eV/atom: -8.0630
Formation energy from the elements in eV/atom: -0.747
Symmetry: No. 166

Lattice parameters (Å, degrees): 4.5637 4.5637 7.8898 73.19 73.19 60.00
With the nearest neighbours (Å) after each atom.
Sites, in units of the cell vectors:
Gd1 0.0000 0.0000 0.0000  6 Bi 3.20
Bi1 0.7478 0.7478 0.7565  3 Gd 3.20, 3 Th 3.25
Bi2 0.2522 0.2522 0.2435  3 Gd 3.20, 3 Th 3.25
Th1 0.5000 0.5000 0.5000  6 Bi 3.25



[5]
A plane-wave DFT calculation with PBE was carried out for an optimized crystal structure of Pm5Nd4Tl4.

Calculated values
E in eV/atom: -4.2697
Formation energy from the elements in eV/atom: -0.247
Symmetry: No. 87

Lattice parameters (Å, degrees): 5.2526 9.2756 9.2756 85.40 73.55 73.55
With the nearest neighbours (Å) after each atom.
Sites, in units of the cell vectors:
Pm1 0.6887 0.9106 0.7120  3 Tl 3.26-3.32, 2 Nd 3.61
Pm2 0.3113 0.0894 0.2880  3 Tl 3.26-3.32, 2 Nd 3.61
Pm3 0.0000 0.0000 0.0000  4 Tl 3.21
Pm4 0.5993 0.7120 0.0894  3 Tl 3.26-3.32, 2 Nd 3.61
Pm5 0.4007 0.2880 0.9106  3 Tl 3.26-3.32, 2 Nd 3.61
Nd1 0.9064 0.4795 0.7078  3 Tl 3.22-3.43
Nd2 0.6141 0.2922 0.4795  3 Tl 3.22-3.43
Nd3 0.0936 0.5205 0.2922  3 Tl 3.22-3.43
Nd4 0.3859 0.7078 0.5205  3 Tl 3.22-3.43
Tl1 0.7692 0.3404 0.1211  4 Pm 3.21-3.32, 3 Nd 3.22-3.43
Tl2 0.2308 0.6596 0.8789  4 Pm 3.21-3.32, 3 Nd 3.22-3.43
Tl3 0.8904 0.8789 0.3404  4 Pm 3.21-3.32, 3 Nd 3.22-3.43
Tl4 0.1096 0.1211 0.6596  4 Pm 3.21-3.32, 3 Nd 3.22-3.43



[6]
A plane-wave DFT calculation with PBE was carried out for an optimized crystal structure of Rb2MgPd2.

Calculated values
E in eV/atom: -2.3522
Formation energy from the elements in eV/atom: 0.431
Symmetry: No. 127

Lattice parameters (Å, degrees): 9.7170 9.7170 3.1256 90.00 90.00 90.00
With the nearest neighbours (Å) after each atom.
Sites, in units of the cell vectors:
Mg1 0.0000 0.0000 0.0000  2 Mg 3.13
Mg2 0.5000 0.5000 0.0000  2 Mg 3.13
Rb1 0.3742 0.8742 0.0000  6 Pd 3.12-3.37, 3 Rb 3.13-3.46
Rb2 0.8742 0.6258 0.0000  6 Pd 3.12-3.37, 3 Rb 3.13-3.46
Rb3 0.6258 0.1258 0.0000  6 Pd 3.12-3.37, 3 Rb 3.13-3.46
Rb4 0.1258 0.3742 0.0000  6 Pd 3.12-3.37, 3 Rb 3.13-3.46
Pd1 0.1775 0.6775 0.5000  6 Rb 3.12-3.37, 2 Pd 3.13
Pd2 0.6775 0.8225 0.5000  6 Rb 3.12-3.37, 2 Pd 3.13
Pd3 0.8225 0.3225 0.5000  6 Rb 3.12-3.37, 2 Pd 3.13
Pd4 0.3225 0.1775 0.5000  6 Rb 3.12-3.37, 2 Pd 3.13



[7]
A plane-wave DFT calculation with PBE was carried out for an optimized crystal structure of Nd3TeSe2.

Calculated values
E in eV/atom: -5.4327
Energy relative to the elements, uncorrected in meV per atom: -1364
Symmetry: No. 74

Lattice parameters (Å, degrees): 9.2378 8.2133 8.2133 55.61 55.78 55.78
With the nearest neighbours (Å) after each atom.
Sites, in units of the cell vectors:
Nd1 0.0000 0.7288 0.2712  4 Se 2.96-3.14
Nd2 0.0000 0.2712 0.7288  4 Se 2.96-3.14
Nd3 0.5000 0.7712 0.2288  4 Se 2.96-3.14
Nd4 0.5000 0.0000 0.5000  4 Se 3.04, 2 Te 3.34
Nd5 0.5000 0.5000 0.0000  4 Se 3.04, 2 Te 3.34
Nd6 0.5000 0.2288 0.7712  4 Se 2.96-3.14
Te1 0.2038 0.2500 0.2500  6 Nd 3.33-3.34
Te2 0.7962 0.7500 0.7500  6 Nd 3.33-3.34
Se1 0.2630 0.9597 0.9597  6 Nd 2.96-3.14
Se2 0.3177 0.4597 0.4597  6 Nd 2.96-3.14
Se3 0.6823 0.5403 0.5403  6 Nd 2.96-3.14
Se4 0.7370 0.0403 0.0403  6 Nd 2.96-3.14



[8]
A plane-wave DFT calculation with PBE was carried out for an optimized crystal structure of CdOs3Br.

Calculated values
E in eV/atom: -4.9962
Energy relative to the elements, uncorrected in meV per atom: 2259
Symmetry: No. 221

Lattice parameters (Å, degrees): 4.5779 4.5779 4.5779 90.00 90.00 90.00
With the nearest neighbours (Å) after each atom.
Sites, in units of the cell vectors:
Os1 0.0000 0.5000 0.0000  2 Br 2.29
Os2 0.0000 0.0000 0.5000  2 Br 2.29
Os3 0.5000 0.0000 0.0000  2 Br 2.29
Br1 0.0000 0.0000 0.0000  6 Os 2.29
Cd1 0.5000 0.5000 0.5000  12 Os 3.24



[9]
A plane-wave DFT calculation with PBE was carried out for an optimized crystal structure of TbNd7Sm12.

Calculated values
E in eV/atom: -4.1264
Formation energy from the elements in eV/atom: 0.605
Symmetry: No. 229

Lattice parameters (Å, degrees): 9.9945 9.9945 9.9945 109.47 109.47 109.47
With the nearest neighbours (Å) after each atom.
Sites, in units of the cell vectors:
Tb1 0.0000 0.0000 0.0000  12 Sm 4.04
Nd1 0.5000 0.5000 0.0000  12 Sm 4.08-4.12
Nd2 0.0000 0.5000 0.5000  12 Sm 4.08-4.12
Nd3 0.5000 0.0000 0.5000  12 Sm 4.08-4.12
Nd4 0.5000 0.5000 0.5000  6 Sm 2.89
Nd5 0.0000 0.0000 0.5000  6 Sm 2.89
Nd6 0.5000 0.0000 0.0000  6 Sm 2.89
Nd7 0.0000 0.5000 0.0000  6 Sm 2.89
Sm1 0.5055 0.7530 0.7525  2 Nd 2.89
Sm2 0.0004 0.7530 0.2475  2 Nd 2.89
Sm3 0.4945 0.2470 0.2475  2 Nd 2.89
Sm4 0.9996 0.2470 0.7525  2 Nd 2.89
Sm5 0.7525 0.9996 0.2470  2 Nd 2.89
Sm6 0.7525 0.5055 0.7530  2 Nd 2.89
Sm7 0.2475 0.0004 0.7530  2 Nd 2.89
Sm8 0.2475 0.4945 0.2470  2 Nd 2.89
Sm9 0.7530 0.7525 0.5055  2 Nd 2.89
Sm10 0.2470 0.2475 0.4945  2 Nd 2.89
Sm11 0.7530 0.2475 0.0004  2 Nd 2.89
Sm12 0.2470 0.7525 0.9996  2 Nd 2.89



[10]
A plane-wave DFT calculation with PBE was carried out for an optimized crystal structure of KMnAgSe2.

Calculated values
E in eV/atom: -4.6169
Energy relative to the elements, uncorrected in meV per atom: -599
Symmetry: No. 67

Lattice parameters (Å, degrees): 6.1974 6.2158 7.7865 113.52 90.00 90.00
With the nearest neighbours (Å) after each atom.
Sites, in units of the cell vectors:
K1 0.2381 0.7500 0.5000  8 Se 3.44-3.85
K2 0.7619 0.2500 0.5000  8 Se 3.44-3.85
Mn1 0.5000 0.7500 0.0000  4 Se 2.59
Mn2 0.5000 0.2500 0.0000  4 Se 2.59
Ag1 0.0000 0.0000 0.0000  2 Se 2.50
Ag2 0.0000 0.5000 0.0000  2 Se 2.50
Se1 0.6994 0.8836 0.7672  1 Ag 2.50, 2 Mn 2.59
Se2 0.6994 0.6164 0.2328  1 Ag 2.50, 2 Mn 2.59
Se3 0.3006 0.3836 0.7672  1 Ag 2.50, 2 Mn 2.59
Se4 0.3006 0.1164 0.2328  1 Ag 2.50, 2 Mn 2.59



[11]
A plane-wave DFT calculation with PBE was carried out for an optimized crystal structure of Nd7Tm4Th.

Calculated values
E in eV/atom: -4.8610
Formation energy from the elements in eV/atom: 0.029
Symmetry: No. 164

Lattice parameters (Å, degrees): 3.6121 3.6121 35.3113 90.00 90.00 120.00
With the nearest neighbours (Å) after each atom.
Sites, in units of the cell vectors:
Nd1 0.0000 0.0000 0.0000  6 Tm 3.57, 6 Nd 3.61
Nd2 0.6667 0.3333 0.5824  3 Th 3.58, 6 Nd 3.61, 3 Tm 3.64
Nd3 0.3333 0.6667 0.4176  3 Th 3.58, 6 Nd 3.61, 3 Tm 3.64
Nd4 0.6667 0.3333 0.8358  3 Tm 3.57, 9 Nd 3.61-3.71
Nd5 0.3333 0.6667 0.1642  3 Tm 3.57, 9 Nd 3.61-3.71
Nd6 0.0000 0.0000 0.2512  3 Tm 3.57, 9 Nd 3.61-3.71
Nd7 0.0000 0.0000 0.7488  3 Tm 3.57, 9 Nd 3.61-3.71
Tm1 0.6667 0.3333 0.0821  6 Nd 3.57, 6 Tm 3.61
Tm2 0.3333 0.6667 0.9179  6 Nd 3.57, 6 Tm 3.61
Tm3 0.6667 0.3333 0.3332  6 Nd 3.57-3.64, 6 Tm 3.61
Tm4 0.3333 0.6667 0.6668  6 Nd 3.57-3.64, 6 Tm 3.61
Th1 0.0000 0.0000 0.5000  6 Nd 3.58, 6 Th 3.61



[12]
A plane-wave DFT calculation with PBE was carried out for an optimized crystal structure of YCoW3.

Calculated values
E in eV/atom: -9.3955
Formation energy from the elements in eV/atom: 1.090
Symmetry: No. 221

Lattice parameters (Å, degrees): 4.5885 4.5885 4.5885 90.00 90.00 90.00
With the nearest neighbours (Å) after each atom.
Sites, in units of the cell vectors:
Y1 0.5000 0.5000 0.5000  12 W 3.24
Co1 0.0000 0.0000 0.0000  6 W 2.29
W1 0.0000 0.5000 0.0000  2 Co 2.29
W2 0.0000 0.0000 0.5000  2 Co 2.29
W3 0.5000 0.0000 0.0000  2 Co 2.29



Number 3 is which compound?
NaPmMnI6



Among the records above, which one has the lowest E?
YCoW3